VASP calculation (GGA-PBE) on SnOsO3 after structural relaxation.

Cell: 4.017 4.017 4.017 Å, 90.00 90.00 90.00°
Fractional positions:
Sn 0.000 0.000 0.000
Os 0.500 0.500 0.500
O 0.000 0.000 0.500
O 0.000 0.500 0.000
O 0.500 0.000 0.000

calculated volume: 64.8 Å³/f.u.
density: 9.14 g cm⁻³
crystal system: cubic
space-group type: Pm-3m
DFT total energy: -29.1 eV per cell